A geometry-optimized ScAlRu structure. Source: Alexandria via LeMat-Bulk, functional PBE.

Cell lengths 3.164, 3.164, 11.163 Å; angles 98.15, 98.15, 90.00 degrees
Element x y z (fractional)
Ru1 0.845 0.845 0.690
Ru2 0.155 0.155 0.310
Sc1 0.582 0.582 0.163
Sc2 0.418 0.418 0.837
Al1 0.714 0.714 0.428
Al2 0.286 0.286 0.572

## Properties
**Total energy**: -6.952 eV/atom
**N(E_F)**: 0.60 states/eV per atom
**Symmetry**: I4/mmm, No. 139
**Calculated density**: 5.250 g/cm³



A geometry-optimized LiY3Os structure. Source: Alexandria via LeMat-Bulk, functional PBE.

Cell lengths 5.435, 5.435, 5.435 Å; angles 90.00, 90.00, 90.00 degrees
Element x y z (fractional)
Y1 0.000 0.000 0.500
Y2 0.000 0.500 0.000
Y3 0.500 0.000 0.000
Os1 0.000 0.000 0.000
Li1 0.500 0.500 0.500

## Properties
**Total energy**: -6.483 eV/atom
**N(E_F)**: 0.86 states/eV per atom
**Symmetry**: Pm-3m, No. 221
**Calculated density**: 4.798 g/cm³



A geometry-optimized MnAu2 structure. Source: Alexandria via LeMat-Bulk, functional PBE.

Cell lengths 5.453, 5.453, 5.453 Å; angles 60.00, 60.00, 60.00 degrees
Each line ends with the local moment (μB).
Element x y z (fractional)
Au1 0.125 0.625 0.125  0.03
Au2 0.125 0.125 0.125  0.03
Au3 0.125 0.125 0.625  0.03
Au4 0.625 0.125 0.125  0.03
Mn1 0.500 0.500 0.500  4.19
Mn2 0.750 0.750 0.750  4.19

## Properties
**Total energy**: -4.976 eV/atom
**N(E_F)**: 0.65 states/eV per atom
**Symmetry**: Fd-3m, No. 227
**Calculated density**: 13.002 g/cm³



A geometry-optimized SmPu3S4 structure. Source: Alexandria via LeMat-Bulk, functional PBE.

Cell lengths 3.975, 6.882, 6.882 Å; angles 109.43, 90.00, 90.00 degrees
Each line ends with the local moment (μB).
Element x y z (fractional)
S1 0.000 0.254 0.254  -0.08
S2 0.000 0.746 0.746  -0.08
S3 0.500 0.748 0.252  -0.11
S4 0.500 0.252 0.748  -0.11
Pu1 0.000 0.500 0.000  5.37
Pu2 0.000 0.000 0.500  5.37
Pu3 0.500 0.500 0.500  5.34
Sm1 0.500 0.000 0.000  0.06

## Properties
**Uncorrected formation energy**: -1.84 eV per atom
**N(E_F)**: 3.03 states/eV per atom
**Symmetry**: Cmmm, No. 65
**Calculated density**: 9.452 g/cm³